(1)
VASP calculation (PBE) on crystalline CrSnAu at its relaxed geometry.

The structure belongs to space group C2/m (No. 12); the cell edges are 8.579, 3.206 and 8.921 Å and the angles 90.00°, 110.41° and 90.00°. The inequivalent atoms are Cr at (0.205, 0.000, 0.060), Sn at (0.013, 0.000, 0.759) and Au at (0.176, 0.500, 0.599).

The theoretical density comes out at 10621 kg/m³. Its calculated volume is 19.16 Å³ per atom. As for the density of states at the Fermi level: 6.72 states/eV/cell.

=====

(2)
VASP calculation (PBE) on crystalline CrSn3Au at its relaxed geometry.

The structure belongs to space group Pm-3m (No. 221); the cell edges are 5.038, 5.038 and 5.038 Å and the angles 90.00°, 90.00° and 90.00°. The inequivalent atoms are Cr at (0.000, 0.000, 0.000), Sn at (0.000, 0.000, 0.500) and Au at (0.500, 0.500, 0.500).

The theoretical density comes out at 7859 kg/m³. Its energy above the most stable polymorph in this dataset is 0.00 eV/f.u. Its calculated volume is 25.57 Å³ per atom. As for the density of states at the Fermi level: 1.97 states/eV/cell.

=====

(3)
VASP calculation (PBE) on crystalline CrSnAu2 at its relaxed geometry.

The structure belongs to space group I-42d (No. 122); the cell edges are 3.993, 3.993 and 19.988 Å and the angles 90.00°, 90.00° and 90.00°. The inequivalent atoms are Cr at (0.000, 0.000, 0.000), Sn at (0.000, 0.000, 0.500) and Au at (0.244, 0.250, 0.125).

The theoretical density comes out at 11771 kg/m³. Its calculated volume is 19.91 Å³ per atom. As for the density of states at the Fermi level: 8.35 states/eV/cell.

=====

(4)
VASP calculation (PBE) on crystalline CrSn2Au2 at its relaxed geometry.

The structure belongs to space group I4/mmm (No. 139); the cell edges are 3.793, 3.793 and 15.700 Å and the angles 90.00°, 90.00° and 90.00°. The inequivalent atoms are Cr at (0.000, 0.000, 0.000), Sn at (0.000, 0.000, 0.399) and Au at (0.000, 0.500, 0.250).

The theoretical density comes out at 10049 kg/m³. Its energy above the most stable polymorph in this dataset is 0.00 eV/f.u. Its calculated volume is 22.58 Å³ per atom. As for the density of states at the Fermi level: 5.25 states/eV/cell.

=====

(5)
VASP calculation (PBE) on crystalline Cr2Sn2Au at its relaxed geometry.

The structure belongs to space group P4/mbm (No. 127); the cell edges are 7.399, 7.399 and 3.211 Å and the angles 90.00°, 90.00° and 90.00°. The inequivalent atoms are Cr at (0.104, 0.396, 0.000), Sn at (0.186, 0.686, 0.500) and Au at (0.000, 0.000, 0.000).

The theoretical density comes out at 10173 kg/m³. Its calculated volume is 17.58 Å³ per atom. As for the density of states at the Fermi level: 6.28 states/eV/cell.

=====

(6)
VASP calculation (PBE) on crystalline CrSnAu3 at its relaxed geometry.

The structure belongs to space group Pm-3m (No. 221); the cell edges are 5.167, 5.167 and 5.167 Å and the angles 90.00°, 90.00° and 90.00°. The inequivalent atoms are Cr at (0.000, 0.000, 0.000), Sn at (0.500, 0.500, 0.500) and Au at (0.000, 0.500, 0.500).

The theoretical density comes out at 9170 kg/m³. Its energy above the most stable polymorph in this dataset is 0.00 eV/f.u. Its calculated volume is 27.58 Å³ per atom. As for the density of states at the Fermi level: 1.70 states/eV/cell.

=====

(7)
VASP calculation (PBE) on crystalline TaCrSn2Au at its relaxed geometry.

The structure belongs to space group P4/mmm (No. 123); the cell edges are 4.909, 4.909 and 4.930 Å and the angles 90.00°, 90.00° and 90.00°. The inequivalent atoms are Ta at (0.000, 0.000, 0.000), Cr at (0.500, 0.500, 0.500), Sn at (0.000, 0.500, 0.500) and Au at (0.500, 0.500, 0.000).

The theoretical density comes out at 9327 kg/m³. Its calculated volume is 23.76 Å³ per atom. As for the density of states at the Fermi level: 7.65 states/eV/cell.

=====

(8)
VASP calculation (PBE) on crystalline Zr2CrSnAu at its relaxed geometry.

The structure belongs to space group P4/mmm (No. 123); the cell edges are 4.743, 4.743 and 4.932 Å and the angles 90.00°, 90.00° and 90.00°. The inequivalent atoms are Zr at (0.000, 0.500, 0.000), Cr at (0.000, 0.000, 0.000), Sn at (0.500, 0.500, 0.500) and Au at (0.000, 0.000, 0.500).

The theoretical density comes out at 8234 kg/m³. Its calculated volume is 22.19 Å³ per atom. As for the density of states at the Fermi level: 7.36 states/eV/cell.

=====

(9)
VASP calculation (PBE) on crystalline SrCr2Au at its relaxed geometry.

The structure belongs to space group C2/m (No. 12); the cell edges are 6.131, 10.391 and 3.355 Å and the angles 90.00°, 120.58° and 90.00°. The inequivalent atoms are Sr at (0.000, 0.000, 0.000), Cr at (0.250, 0.250, 0.500) and Au at (0.000, 0.500, 0.000).

The theoretical density comes out at 7014 kg/m³. Its energy above the most stable polymorph in this dataset is 2.08 eV/f.u. Its calculated volume is 23.00 Å³ per atom. As for the density of states at the Fermi level: 5.91 states/eV/cell.

=====

(10)
VASP calculation (PBE) on crystalline SrCrAu2 at its relaxed geometry.

The structure belongs to space group I-42d (No. 122); the cell edges are 5.253, 5.253 and 16.327 Å and the angles 90.00°, 90.00° and 90.00°. The inequivalent atoms are Sr at (0.000, 0.000, 0.000), Cr at (0.000, 0.000, 0.500) and Au at (0.104, 0.250, 0.625).

The theoretical density comes out at 7867 kg/m³. Its calculated volume is 28.15 Å³ per atom. As for the density of states at the Fermi level: 25.85 states/eV/cell.

=====

(11)
VASP calculation (PBE) on crystalline SrCr2Au at its relaxed geometry.

The structure belongs to space group I4_1/amd (No. 141, origin choice 2); the cell edges are 4.530, 4.530 and 19.453 Å and the angles 90.00°, 90.00° and 90.00°. The inequivalent atoms are Sr at (0.000, 0.250, 0.375), Cr at (0.000, 0.000, 0.000) and Au at (0.000, 0.250, 0.875).

The theoretical density comes out at 6466 kg/m³. Its energy above the most stable polymorph in this dataset is 2.02 eV/f.u. Its calculated volume is 24.95 Å³ per atom. As for the density of states at the Fermi level: 18.67 states/eV/cell.

=====

(12)
VASP calculation (PBE) on crystalline SrCr2Au at its relaxed geometry.

The structure belongs to space group P4mm (No. 99); the cell edges are 3.339, 3.339 and 7.461 Å and the angles 90.00°, 90.00° and 90.00°. The inequivalent atoms are Sr at (0.000, 0.000, 0.000), Cr at (0.000, 0.000, 0.529), Cr at (0.500, 0.500, 0.664) and Au at (0.500, 0.500, 0.294).

The theoretical density comes out at 7758 kg/m³. Its energy above the most stable polymorph in this dataset is 0.29 eV/f.u. Its calculated volume is 20.79 Å³ per atom. As for the density of states at the Fermi level: 2.90 states/eV/cell.

=====

(13)
VASP calculation (PBE) on crystalline SrCr2Au at its relaxed geometry.

The structure belongs to space group Immm (No. 71); the cell edges are 3.636, 5.182 and 10.067 Å and the angles 90.00°, 90.00° and 90.00°. The inequivalent atoms are Sr at (0.000, 0.000, 0.000), Cr at (0.000, 0.500, 0.214) and Au at (0.000, 0.000, 0.500).

The theoretical density comes out at 6803 kg/m³. Its energy above the most stable polymorph in this dataset is 1.39 eV/f.u. Its calculated volume is 23.71 Å³ per atom. As for the density of states at the Fermi level: 5.32 states/eV/cell.

=====

(14)
VASP calculation (PBE) on crystalline Sr4CrAu at its relaxed geometry.

The structure belongs to space group F-43m (No. 216); the cell edges are 9.979, 9.979 and 9.979 Å and the angles 90.00°, 90.00° and 90.00°. The inequivalent atoms are Sr at (0.125, 0.125, 0.125), Cr at (0.000, 0.000, 0.500) and Au at (0.250, 0.250, 0.750).

The theoretical density comes out at 4007 kg/m³. Its calculated volume is 41.40 Å³ per atom. As for the density of states at the Fermi level: 33.09 states/eV/cell.

=====

(15)
VASP calculation (PBE) on crystalline SrCr2Au at its relaxed geometry.

The structure belongs to space group P4/mmm (No. 123); the cell edges are 3.528, 3.528 and 7.438 Å and the angles 90.00°, 90.00° and 90.00°. The inequivalent atoms are Sr at (0.000, 0.000, 0.000), Cr at (0.500, 0.500, 0.313) and Au at (0.000, 0.000, 0.500).

The theoretical density comes out at 6971 kg/m³. Its energy above the most stable polymorph in this dataset is 1.48 eV/f.u. Its calculated volume is 23.14 Å³ per atom. As for the density of states at the Fermi level: 2.72 states/eV/cell.

=====

(16)
VASP calculation (PBE) on crystalline SrCr2Au at its relaxed geometry.

The structure belongs to space group Fm-3m (No. 225); the cell edges are 6.972, 6.972 and 6.972 Å and the angles 90.00°, 90.00° and 90.00°. The inequivalent atoms are Sr at (0.000, 0.000, 0.000), Cr at (0.250, 0.250, 0.250) and Au at (0.000, 0.000, 0.500).

The theoretical density comes out at 7615 kg/m³. Its energy above the most stable polymorph in this dataset is 1.62 eV/f.u. Its calculated volume is 21.18 Å³ per atom. As for the density of states at the Fermi level: 11.83 states/eV/cell.

=====

(17)
VASP calculation (PBE) on crystalline SrCr2Au at its relaxed geometry.

The structure belongs to space group C2/m (No. 12); the cell edges are 9.792, 3.188 and 5.623 Å and the angles 90.00°, 102.78° and 90.00°. The inequivalent atoms are Sr at (0.000, 0.000, 0.000), Cr at (0.227, 0.000, 0.611) and Au at (0.000, 0.500, 0.500).

The theoretical density comes out at 7539 kg/m³. Its energy above the most stable polymorph in this dataset is 1.35 eV/f.u. Its calculated volume is 21.40 Å³ per atom. As for the density of states at the Fermi level: 8.97 states/eV/cell.

=====

(18)
VASP calculation (PBE) on crystalline SrCr2Au at its relaxed geometry.

The structure belongs to space group R3m (No. 160, hexagonal axes); the cell edges are 4.3847, 4.3847 and 17.3285 Å and the angles 90.00°, 90.00° and 120.00°. The inequivalent atoms are Sr at (0.0000, 0.0000, 0.0000), Cr at (0.0000, 0.0000, 0.1952), Cr at (0.0000, 0.0000, 0.5237) and Au at (0.0000, 0.0000, 0.7931).

The theoretical density comes out at 6709 kg/m³. Its energy above the most stable polymorph in this dataset is 0.00 eV/f.u. Its calculated volume is 24.04 Å³ per atom. As for the density of states at the Fermi level: 5.63 states/eV/cell.

=====

(19)
VASP calculation (PBE) on crystalline SrCrAu3 at its relaxed geometry.

The structure belongs to space group Pm-3m (No. 221); the cell edges are 5.700, 5.700 and 5.700 Å and the angles 90.00°, 90.00° and 90.00°. The inequivalent atoms are Sr at (0.000, 0.000, 0.000), Cr at (0.500, 0.500, 0.500) and Au at (0.000, 0.000, 0.500).

The theoretical density comes out at 6552 kg/m³. Its energy above the most stable polymorph in this dataset is 3.80 eV/f.u. Its calculated volume is 37.03 Å³ per atom. As for the density of states at the Fermi level: 1.45 states/eV/cell.

=====

(20)
VASP calculation (PBE) on crystalline SrCr3Au at its relaxed geometry.

The structure belongs to space group Pm-3m (No. 221); the cell edges are 5.158, 5.158 and 5.158 Å and the angles 90.00°, 90.00° and 90.00°. The inequivalent atoms are Sr at (0.000, 0.000, 0.000), Cr at (0.000, 0.500, 0.500) and Au at (0.500, 0.500, 0.500).

The theoretical density comes out at 5332 kg/m³. Its energy above the most stable polymorph in this dataset is 0.00 eV/f.u. Its calculated volume is 27.44 Å³ per atom. As for the density of states at the Fermi level: 3.43 states/eV/cell.

=====

Quick rundown of energy of formation from the pure elements, same order as above: 270; 299; 223; 274; 309; 741; 1143; 394; 698; 417; 681; 249; 524; 768; 547; 582; 514; 177; 883; 902 meV per atom